Record 1
# ScAsN3 meta-GGA SCAN PBEsol geometry
data_ScAsN3
_chemical_formula_sum 'Sc1 As1 N3'
_cell_length_a 3.720
_cell_length_b 3.720
_cell_length_c 3.720
_cell_angle_alpha 90.00
_cell_angle_beta 90.00
_cell_angle_gamma 90.00
_symmetry_space_group_name_H-M 'P 1'
_symmetry_Int_Tables_number 1
loop_
_symmetry_equiv_pos_as_xyz
'x,y,z'
loop_
_atom_site_label
_atom_site_type_symbol
_atom_site_fract_x
_atom_site_fract_y
_atom_site_fract_z
Sc1 Sc 0.500 0.500 0.500
As1 As 0.000 0.000 0.000
N1 N 0.000 0.500 0.000
N2 N 0.000 0.000 0.500
N3 N 0.500 0.000 0.000
# V (Å³/cell): 51.5
# E (eV per atom): -12.238
# Spin magnetization (μB per cell): 0.00



Record 2
# AsSe3N meta-GGA SCAN PBEsol geometry
data_AsSe3N
_chemical_formula_sum 'As1 Se3 N1'
_cell_length_a 4.366
_cell_length_b 4.366
_cell_length_c 4.366
_cell_angle_alpha 90.00
_cell_angle_beta 90.00
_cell_angle_gamma 90.00
_symmetry_space_group_name_H-M 'P 1'
_symmetry_Int_Tables_number 1
loop_
_symmetry_equiv_pos_as_xyz
'x,y,z'
loop_
_atom_site_label
_atom_site_type_symbol
_atom_site_fract_x
_atom_site_fract_y
_atom_site_fract_z
As1 As 0.500 0.500 0.500
Se1 Se 0.000 0.500 0.000
Se2 Se 0.000 0.000 0.500
Se3 Se 0.500 0.000 0.000
N1 N 0.000 0.000 0.000
# V (Å³/cell): 83.2
# E (eV per atom): -16.943
# Spin magnetization (μB per cell): 0.00